Compound: CsTl2Ag2
Source: Alexandria via LeMat-Bulk
Functional: PBE
Structure: relaxed Values from VASP.

- Symmetry: C2/m
- Energy: -11.2 eV/cell
- Relative energy among the computed polymorphs: 0.000 eV/atom
- Crystal system: monoclinic
- N(E_F): 0.487 states/eV per atom
- Calculated formation energy: 0.04 eV/f.u.

Quantum ESPRESSO input file:
```
&SYSTEM
  ibrav = 0, nat = 5, ntyp = 3
/
ATOMIC_SPECIES
Cs 132.91 Cs.upf
Tl 204.38 Tl.upf
Ag 107.87 Ag.upf
CELL_PARAMETERS angstrom
6.4226 -2.4242 0.0000
6.4226 2.4242 0.0000
-1.6709 0.0000 5.3300
ATOMIC_POSITIONS angstrom
Cs 0.0000 0.0000 0.0000
Tl 3.7886 0.0000 2.2496
Tl 7.3857 0.0000 3.0805
Ag 1.8690 0.0000 4.5707
Ag 9.3053 0.0000 0.7593
```

***

Compound: CeNpPb2O8
Source: Alexandria via LeMat-Bulk
Functional: PBE
Structure: relaxed Values from VASP.

- Symmetry: Cmmm
- Formation energy (no corrections): -2.14 eV/atom
- Energy: -91.7 eV/cell
- Crystal system: orthorhombic
- N(E_F): 0.255 states/eV per atom

Quantum ESPRESSO input file:
```
&SYSTEM
  ibrav = 0, nat = 12, ntyp = 4
/
ATOMIC_SPECIES
Ce 140.12 Ce.upf
Np 237.00 Np.upf
Pb 207.20 Pb.upf
O 16.00 O.upf
CELL_PARAMETERS angstrom
3.6891 -3.7702 0.0000
3.6891 3.7702 0.0000
0.0000 0.0000 7.2083
ATOMIC_POSITIONS angstrom
Ce 0.0000 0.0000 0.0000
Np 0.0000 0.0000 3.6042
Pb 3.6891 0.0000 1.7795
Pb 3.6891 0.0000 5.4288
O 3.6891 2.4716 1.9892
O 3.6891 2.4716 5.2191
O 1.9600 0.0000 3.6042
O 2.1536 0.0000 0.0000
O 5.2246 0.0000 0.0000
O 5.4183 0.0000 3.6042
O 3.6891 -2.4716 1.9892
O 3.6891 -2.4716 5.2191
```

***

Compound: ThVAs
Source: Alexandria via LeMat-Bulk
Functional: PBE
Structure: relaxed Values from VASP.

- Symmetry: Pmmn
- Energy: -46.3 eV/cell
- Crystal system: orthorhombic
- N(E_F): 0.695 states/eV per atom
- Calculated formation energy: -1.96 eV/f.u.

Quantum ESPRESSO input file:
```
&SYSTEM
  ibrav = 0, nat = 6, ntyp = 3
/
ATOMIC_SPECIES
Th 232.04 Th.upf
V 50.94 V.upf
As 74.92 As.upf
CELL_PARAMETERS angstrom
3.9178 0.0000 0.0000
0.0000 4.1215 0.0000
0.0000 0.0000 7.7830
ATOMIC_POSITIONS angstrom
Th 0.9795 1.0304 1.2288
Th 2.9384 3.0911 6.5542
V 0.9795 3.0911 3.9288
V 2.9384 1.0304 3.8542
As 0.9795 1.0304 5.5250
As 2.9384 3.0911 2.2580
```

***

Compound: Tm5Pb5N
Source: Alexandria via LeMat-Bulk
Functional: PBE
Structure: relaxed Values from VASP.

- Symmetry: C2/m
- Formation energy (no corrections): -0.44 eV/atom
- Energy: -54.1 eV/cell
- Crystal system: monoclinic
- N(E_F): 0.501 states/eV per atom

Quantum ESPRESSO input file:
```
&SYSTEM
  ibrav = 0, nat = 11, ntyp = 3
/
ATOMIC_SPECIES
Tm 168.93 Tm.upf
Pb 207.20 Pb.upf
N 14.01 N.upf
CELL_PARAMETERS angstrom
6.1389 -2.9249 0.0000
6.1389 2.9249 0.0000
-3.7407 0.0000 8.2230
ATOMIC_POSITIONS angstrom
Tm 0.0000 0.0000 0.0000
Tm 3.8928 0.0000 0.7378
Tm 1.7036 0.0000 6.0547
Tm 6.8334 0.0000 2.1683
Tm 4.6443 0.0000 7.4852
Pb -1.5421 0.0000 5.9893
Pb 1.2725 0.0000 2.8859
Pb 4.2685 0.0000 4.1115
Pb 7.2646 0.0000 5.3371
Pb 10.0791 0.0000 2.2337
N 6.1389 0.0000 0.0000
```

***

Compound: AcPr6Y4
Source: Alexandria via LeMat-Bulk
Functional: PBE
Structure: relaxed Values from VASP.

- Symmetry: I-42m
- Energy: -54.8 eV/cell
- Relative energy among the computed polymorphs: 0.042 eV/atom
- Crystal system: tetragonal
- N(E_F): 1.357 states/eV per atom
- Calculated formation energy: 3.80 eV/f.u.

Quantum ESPRESSO input file:
```
&SYSTEM
  ibrav = 0, nat = 11, ntyp = 3
/
ATOMIC_SPECIES
Ac 227.00 Ac.upf
Pr 140.91 Pr.upf
Y 88.91 Y.upf
CELL_PARAMETERS angstrom
-3.9250 3.9250 6.7650
3.9250 -3.9250 6.7650
3.9250 3.9250 -6.7650
ATOMIC_POSITIONS angstrom
Ac 0.0000 0.0000 0.0000
Pr 3.9250 0.0000 0.0000
Pr 2.0317 -2.0317 4.1888
Pr 1.8933 1.8933 2.5762
Pr 0.0000 3.9250 0.0000
Pr -2.0317 2.0317 4.1888
Pr 2.0317 2.0317 9.3411
Y 2.6573 2.6573 -1.0585
Y 1.2677 -1.2677 7.8235
Y 1.2677 1.2677 5.7064
Y -1.2677 1.2677 7.8235
```

***

Compound: Er2Tm3Sc7
Source: Alexandria via LeMat-Bulk
Functional: PBE
Structure: relaxed Values from VASP.

- Symmetry: P2/m
- Energy: -65.7 eV/cell
- Relative energy among the computed polymorphs: 0.000 eV/atom
- Crystal system: monoclinic
- N(E_F): 1.500 states/eV per atom
- Calculated formation energy: 1.19 eV/f.u.

Quantum ESPRESSO input file:
```
&SYSTEM
  ibrav = 0, nat = 12, ntyp = 3
/
ATOMIC_SPECIES
Er 167.26 Er.upf
Tm 168.93 Tm.upf
Sc 44.96 Sc.upf
CELL_PARAMETERS angstrom
5.4178 0.0000 0.0000
0.0000 3.4041 0.0000
-0.8982 0.0000 17.5483
ATOMIC_POSITIONS angstrom
Er 0.8728 0.0000 5.1095
Er 3.6469 0.0000 12.4388
Tm 0.0000 0.0000 0.0000
Tm 0.9320 1.7021 11.0712
Tm 3.5876 1.7021 6.4770
Sc 0.9351 1.7021 2.4812
Sc 0.9019 0.0000 8.1259
Sc 0.8982 0.0000 14.4944
Sc 2.7089 1.7021 0.0000
Sc 3.6214 0.0000 3.0538
Sc 3.6177 0.0000 9.4223
Sc 3.5846 1.7021 15.0671
```

***

Compound: Ag9Cl2F14
Source: Alexandria via LeMat-Bulk
Functional: PBE
Structure: relaxed Values from VASP.

- Symmetry: P-3
- Formation energy (no corrections): -0.98 eV/atom
- Energy: -80.1 eV/cell
- Crystal system: trigonal
- N(E_F): 0.850 states/eV per atom

Quantum ESPRESSO input file:
```
&SYSTEM
  ibrav = 0, nat = 25, ntyp = 3
/
ATOMIC_SPECIES
Ag 107.87 Ag.upf
Cl 35.45 Cl.upf
F 19.00 F.upf
CELL_PARAMETERS angstrom
6.7875 0.0000 0.0000
-3.3937 5.8781 0.0000
0.0000 0.0000 10.3014
ATOMIC_POSITIONS angstrom
Ag 0.0000 0.0000 0.0000
Ag -1.0955 1.9136 3.5342
Ag -1.1887 5.8701 3.5342
Ag 1.1095 1.9056 6.7671
Ag 0.0000 3.9188 10.1628
Ag 3.3937 1.9594 0.1386
Ag 2.2843 3.9726 3.5342
Ag 4.5825 0.0080 6.7671
Ag 4.4893 3.9645 6.7671
Cl 0.0000 3.9188 2.4471
Cl 3.3937 1.9594 7.8543
F 0.0000 0.0000 3.2506
F 0.0000 0.0000 7.0508
F -0.8851 2.4417 6.1691
F -1.9923 4.5834 9.2470
F 0.4205 1.8611 9.2470
F 1.8220 0.5664 1.0544
F -0.8366 5.4238 6.1691
F 1.6721 1.9874 4.1323
F 1.7217 3.8907 6.1691
F 4.2303 0.4543 4.1323
F 1.5718 5.3117 9.2470
F 2.9732 4.0171 1.0544
F 5.3860 1.2947 1.0544
F 4.2788 3.4364 4.1323
```

***

Compound: PuAsPd6
Source: Alexandria via LeMat-Bulk
Functional: PBE
Structure: relaxed Values from VASP.

- Symmetry: C2/m
- Energy: -52.2 eV/cell
- Crystal system: monoclinic
- N(E_F): 2.147 states/eV per atom
- Calculated formation energy: -2.04 eV/f.u.

Quantum ESPRESSO input file:
```
&SYSTEM
  ibrav = 0, nat = 8, ntyp = 3
/
ATOMIC_SPECIES
Pu 244.00 Pu.upf
As 74.92 As.upf
Pd 106.42 Pd.upf
CELL_PARAMETERS angstrom
3.2613 -4.5813 0.0000
3.2613 4.5813 0.0000
-3.1893 0.0000 4.6282
ATOMIC_POSITIONS angstrom
Pu 0.0000 0.0000 0.0000
As 1.6666 0.0000 2.3141
Pd -0.6929 0.0000 3.3400
Pd 2.3719 2.1771 1.1411
Pd 0.9613 2.1771 3.4871
Pd 2.3719 -2.1771 1.1411
Pd 0.9613 -2.1771 3.4871
Pd 4.0262 0.0000 1.2882
```